No. 1
Computed, not measured: a geometry-optimized Na3HgCl structure at the PBE-GGA level of DFT.

Results
formation energy without anion corrections = -637 meV per atom
energy = -1.858 eV per atom

a = 5.3760 Å, b = 5.3760 Å, c = 5.3760 Å
α = 90.00°, β = 90.00°, γ = 90.00°
Fractional coordinates of all 5 atoms:
Na1 0.0000 0.0000 0.5000
Na2 0.0000 0.5000 0.0000
Na3 0.5000 0.0000 0.0000
Hg1 0.5000 0.5000 0.5000
Cl1 0.0000 0.0000 0.0000

---

No. 2
Computed, not measured: a geometry-optimized Nd6SmMg2 structure at the PBE-GGA level of DFT.

Results
formation energy from the elements = 0.11 eV per atom
energy = -3.950 eV per atom

a = 8.6596 Å, b = 8.6596 Å, c = 12.0329 Å
α = 122.86°, β = 122.86°, γ = 23.48°
Fractional coordinates of all 9 atoms:
Nd1 0.0494 0.0494 0.2490
Nd2 0.2279 0.2279 0.6098
Nd3 0.3715 0.3715 0.9457
Nd4 0.6285 0.6285 0.0543
Nd5 0.7721 0.7721 0.3902
Nd6 0.9506 0.9506 0.7510
Sm1 0.0000 0.0000 0.5000
Mg1 0.3469 0.3469 0.2085
Mg2 0.6531 0.6531 0.7915

---

No. 3
Computed, not measured: a geometry-optimized BeCo2Mo structure at the PBE-GGA level of DFT.

Results
formation energy from the elements = 0.10 eV per atom
energy = -7.094 eV per atom

a = 4.0058 Å, b = 4.0058 Å, c = 4.0058 Å
α = 60.00°, β = 60.00°, γ = 60.00°
Fractional coordinates of all 4 atoms:
Be1 0.0000 0.0000 0.0000
Co1 0.2500 0.2500 0.2500
Co2 0.5000 0.5000 0.5000
Mo1 0.7500 0.7500 0.7500

---

No. 4
Computed, not measured: a geometry-optimized VHg2Mo structure at the PBE-GGA level of DFT.

Results
formation energy from the elements = 0.86 eV per atom
energy = -4.279 eV per atom

a = 10.5686 Å, b = 10.5686 Å, c = 10.5686 Å
α = 158.59°, β = 158.59°, γ = 30.45°
Fractional coordinates of all 8 atoms:
V1 0.0000 0.0000 0.0000
V2 0.7500 0.2500 0.5000
Hg1 0.1252 0.6250 0.0002
Hg2 0.3750 0.3752 0.5002
Hg3 0.6248 0.1250 0.9998
Hg4 0.8750 0.8748 0.4998
Mo1 0.2500 0.7500 0.5000
Mo2 0.5000 0.5000 0.0000

---

No. 5
Computed, not measured: a geometry-optimized LaTbEuGa structure at the PBE-GGA level of DFT.

Results
formation energy from the elements = -0.10 eV per atom
energy = -5.816 eV per atom

a = 5.4851 Å, b = 5.4851 Å, c = 5.4851 Å
α = 60.00°, β = 60.00°, γ = 60.00°
Fractional coordinates of all 4 atoms:
La1 0.0000 0.0000 0.0000
Tb1 0.5000 0.5000 0.5000
Eu1 0.7500 0.7500 0.7500
Ga1 0.2500 0.2500 0.2500

---

No. 6
Computed, not measured: a geometry-optimized Cs2PrCu3F12 structure at the PBE-GGA level of DFT.

Results
formation energy without anion corrections = -2382 meV per atom
energy = -4.672 eV per atom

a = 7.3129 Å, b = 7.3129 Å, c = 7.3129 Å
α = 63.33°, β = 63.33°, γ = 63.33°
Fractional coordinates of all 18 atoms:
Cs1 0.1100 0.1100 0.1100
Cs2 0.8900 0.8900 0.8900
Pr1 0.5000 0.5000 0.5000
Cu1 0.0000 0.5000 0.5000
Cu2 0.5000 0.0000 0.5000
Cu3 0.5000 0.5000 0.0000
F1 0.1188 0.6092 0.6092
F2 0.2175 0.2175 0.5888
F3 0.2175 0.5888 0.2175
F4 0.3908 0.3908 0.8812
F5 0.3908 0.8812 0.3908
F6 0.4112 0.7825 0.7825
F7 0.5888 0.2175 0.2175
F8 0.6092 0.1188 0.6092
F9 0.6092 0.6092 0.1188
F10 0.7825 0.4112 0.7825
F11 0.7825 0.7825 0.4112
F12 0.8812 0.3908 0.3908

---

No. 7
Computed, not measured: a geometry-optimized Sr3Np4O12 structure at the PBE-GGA level of DFT.

Results
formation energy without anion corrections = -3016 meV per atom
energy = -9.138 eV per atom

a = 7.4071 Å, b = 7.4071 Å, c = 7.4071 Å
α = 109.47°, β = 109.47°, γ = 109.47°
Fractional coordinates of all 19 atoms:
Sr1 0.0000 0.5000 0.5000
Sr2 0.5000 0.0000 0.5000
Sr3 0.5000 0.5000 0.0000
Np1 0.0000 0.0000 0.5000
Np2 0.0000 0.5000 0.0000
Np3 0.5000 0.0000 0.0000
Np4 0.5000 0.5000 0.5000
O1 0.0738 0.7775 0.2963
O2 0.2225 0.2963 0.5188
O3 0.2225 0.7037 0.9262
O4 0.2963 0.0738 0.7775
O5 0.2963 0.5188 0.2225
O6 0.4812 0.7775 0.7037
O7 0.5188 0.2225 0.2963
O8 0.7037 0.4812 0.7775
O9 0.7037 0.9262 0.2225
O10 0.7775 0.2963 0.0738
O11 0.7775 0.7037 0.4812
O12 0.9262 0.2225 0.7037

---

No. 8
Computed, not measured: a geometry-optimized Sc3AlPb structure at the PBE-GGA level of DFT.

Results
formation energy from the elements = 0.47 eV per atom
energy = -4.818 eV per atom

a = 5.3516 Å, b = 5.3516 Å, c = 5.3516 Å
α = 90.00°, β = 90.00°, γ = 90.00°
Fractional coordinates of all 5 atoms:
Sc1 0.0000 0.0000 0.5000
Sc2 0.0000 0.5000 0.0000
Sc3 0.5000 0.0000 0.0000
Al1 0.5000 0.5000 0.5000
Pb1 0.0000 0.0000 0.0000

---

No. 9
Computed, not measured: a geometry-optimized Cs2KNaAs structure at the PBE-GGA level of DFT.

Results
formation energy from the elements = -0.07 eV per atom
energy = -1.826 eV per atom

a = 6.9820 Å, b = 6.9820 Å, c = 6.5447 Å
α = 90.00°, β = 90.00°, γ = 90.00°
Fractional coordinates of all 5 atoms:
Cs1 0.0000 0.5000 0.0000
Cs2 0.5000 0.0000 0.0000
K1 0.0000 0.0000 0.5000
Na1 0.5000 0.5000 0.5000
As1 0.0000 0.0000 0.0000

---

No. 10
Computed, not measured: a geometry-optimized CoB2Br structure at the PBE-GGA level of DFT.

Results
formation energy without anion corrections = 2055 meV per atom
energy = -3.478 eV per atom

a = 3.9561 Å, b = 3.9561 Å, c = 3.9561 Å
α = 60.00°, β = 60.00°, γ = 60.00°
Fractional coordinates of all 4 atoms:
Co1 0.0000 0.0000 0.0000
B1 0.2500 0.2500 0.2500
B2 0.7500 0.7500 0.7500
Br1 0.5000 0.5000 0.5000

---

No. 11
Computed, not measured: a geometry-optimized LaTlW2 structure at the PBE-GGA level of DFT.

Results
formation energy from the elements = 0.69 eV per atom
energy = -7.605 eV per atom

a = 6.1060 Å, b = 6.1060 Å, c = 6.1060 Å
α = 147.30°, β = 130.76°, γ = 60.36°
Fractional coordinates of all 4 atoms:
La1 0.0000 0.0000 0.0000
Tl1 0.2855 0.7855 0.5000
W1 0.5469 0.5469 0.0000
W2 0.7193 0.2193 0.5000

---

No. 12
Computed, not measured: a geometry-optimized Cr2Pt4Rh3 structure at the PBE-GGA level of DFT.

Results
formation energy from the elements = -0.17 eV per atom
energy = -7.443 eV per atom

a = 4.7456 Å, b = 4.7456 Å, c = 8.1959 Å
α = 106.74°, β = 106.74°, γ = 48.36°
Fractional coordinates of all 9 atoms:
Cr1 0.1668 0.1668 0.2243
Cr2 0.8332 0.8332 0.7757
Pt1 0.1669 0.1669 0.8902
Pt2 0.4993 0.4993 0.3308
Pt3 0.5007 0.5007 0.6692
Pt4 0.8331 0.8331 0.1098
Rh1 0.1677 0.1677 0.5493
Rh2 0.5000 0.5000 0.0000
Rh3 0.8323 0.8323 0.4507

---

No. 13
Computed, not measured: a geometry-optimized LiRhSe2 structure at the PBE-GGA level of DFT.

Results
formation energy without anion corrections = -452 meV per atom
energy = -4.510 eV per atom

a = 6.5060 Å, b = 6.5060 Å, c = 6.5060 Å
α = 123.60°, β = 123.60°, γ = 83.87°
Fractional coordinates of all 8 atoms:
Li1 0.0000 0.0000 0.0000
Li2 0.7500 0.2500 0.5000
Rh1 0.2500 0.7500 0.5000
Rh2 0.5000 0.5000 0.0000
Se1 0.1528 0.6250 0.0278
Se2 0.3750 0.4028 0.5278
Se3 0.5972 0.1250 0.9722
Se4 0.8750 0.8472 0.4722

---

No. 14
Computed, not measured: a geometry-optimized Er4MgRu2Au structure at the PBE-GGA level of DFT.

Results
formation energy from the elements = -0.45 eV per atom
energy = -5.656 eV per atom

a = 8.5464 Å, b = 8.5464 Å, c = 8.5464 Å
α = 33.59°, β = 33.59°, γ = 33.59°
Fractional coordinates of all 8 atoms:
Er1 0.1230 0.1230 0.1230
Er2 0.3727 0.3727 0.3727
Er3 0.6273 0.6273 0.6273
Er4 0.8770 0.8770 0.8770
Mg1 0.5000 0.5000 0.5000
Ru1 0.2468 0.2468 0.2468
Ru2 0.7532 0.7532 0.7532
Au1 0.0000 0.0000 0.0000

---

No. 15
Computed, not measured: a geometry-optimized NdGaTcGe2 structure at the PBE-GGA level of DFT.

Results
formation energy from the elements = -0.46 eV per atom
energy = -5.934 eV per atom

a = 5.7395 Å, b = 5.7477 Å, c = 5.8773 Å
α = 90.00°, β = 90.00°, γ = 90.00°
Fractional coordinates of all 10 atoms:
Nd1 0.2500 0.0000 0.2227
Nd2 0.7500 0.0000 0.7773
Ga1 0.2500 0.5000 0.3703
Ga2 0.7500 0.5000 0.6297
Tc1 0.0000 0.5000 0.0000
Tc2 0.5000 0.5000 0.0000
Ge1 0.2500 0.2355 0.7343
Ge2 0.2500 0.7645 0.7343
Ge3 0.7500 0.2355 0.2657
Ge4 0.7500 0.7645 0.2657

---

No. 16
Computed, not measured: a geometry-optimized BaNb structure at the PBE-GGA level of DFT.

Results
formation energy from the elements = 1.23 eV per atom
energy = -4.771 eV per atom

a = 7.1041 Å, b = 7.1041 Å, c = 6.9202 Å
α = 90.00°, β = 90.00°, γ = 90.00°
Fractional coordinates of all 8 atoms:
Ba1 0.1738 0.1738 0.0000
Ba2 0.3262 0.6738 0.5000
Ba3 0.6738 0.3262 0.5000
Ba4 0.8262 0.8262 0.0000
Nb1 0.1074 0.1074 0.5000
Nb2 0.3926 0.6074 0.0000
Nb3 0.6074 0.3926 0.0000
Nb4 0.8926 0.8926 0.5000